Density functional theory data (PBE) for a relaxed structure of Rb2NaTl3Pb4.

Computed properties:
DOS at the Fermi energy: 0.6350 states/eV/atom
formation enthalpy at 0 K: -0.0605 eV per atom
size of the total moment: 0.000 μB per atom

Cell lengths 5.1565, 5.1565, 13.8708 Å; angles 90.00, 90.00, 90.00 degrees
Space group P-4m2 (No. 115)
Unique sites:
Rb  0.0000  0.5000  0.2497 (multiplicity 2)
Na  0.0000  0.0000  0.5000 (multiplicity 1)
Tl  0.0000  0.5000  0.8567 (multiplicity 2)
Tl  0.5000  0.5000  0.5000 (multiplicity 1)
Pb  0.0000  0.0000  0.0000 (multiplicity 1)
Pb  0.0000  0.5000  0.6334 (multiplicity 2)
Pb  0.5000  0.5000  0.0000 (multiplicity 1)